(1)
First-principles (PBE) data for BaZr2Re after structural relaxation, as listed in the Alexandria database.

The structure belongs to space group I-4m2 (No. 119); the cell edges are 4.3611, 4.3611 and 9.7560 Å and the angles 90.00°, 90.00° and 90.00°. Symmetry generates all atoms from Ba at (0.0000, 0.0000, 0.0000), Zr at (0.0000, 0.0000, 0.5000), Zr at (0.0000, 0.5000, 0.2500) and Re at (0.0000, 0.5000, 0.7500).

(2)
First-principles (PBE) data for BaZr2Re after structural relaxation, as listed in the Alexandria database.

The structure belongs to space group Imm2 (No. 44); the cell edges are 3.3928, 4.5409 and 15.3868 Å and the angles 90.00°, 90.00° and 90.00°. Symmetry generates all atoms from Ba at (0.0000, 0.0000, 0.0000), Zr at (0.0000, 0.0000, 0.6745), Zr at (0.0000, 0.5000, 0.8079) and Re at (0.0000, 0.5000, 0.3047).

(3)
First-principles (PBE) data for BaZr2Re after structural relaxation, as listed in the Alexandria database.

The structure belongs to space group Cmmm (No. 65); the cell edges are 7.1064, 7.2060 and 3.4841 Å and the angles 90.00°, 90.00° and 90.00°. Symmetry generates all atoms from Ba at (0.0000, 0.0000, 0.0000), Zr at (0.2500, 0.2500, 0.5000) and Re at (0.0000, 0.5000, 0.0000).

(4)
First-principles (PBE) data for BaZr2Re after structural relaxation, as listed in the Alexandria database.

The structure belongs to space group I4_1/amd (No. 141, origin choice 2); the cell edges are 5.7713, 5.7713 and 17.2294 Å and the angles 90.00°, 90.00° and 90.00°. Symmetry generates all atoms from Ba at (0.0000, 0.2500, 0.3750), Zr at (0.0000, 0.0000, 0.0000) and Re at (0.0000, 0.2500, 0.8750).

(5)
First-principles (PBE) data for BaZrRe4 after structural relaxation, as listed in the Alexandria database.

The structure belongs to space group F-43m (No. 216); the cell edges are 7.7515, 7.7515 and 7.7515 Å and the angles 90.00°, 90.00° and 90.00°. Symmetry generates all atoms from Ba at (0.0000, 0.0000, 0.0000), Zr at (0.2500, 0.2500, 0.2500) and Re at (0.1244, 0.1244, 0.6244).

(6)
First-principles (PBE) data for BaZr2Re after structural relaxation, as listed in the Alexandria database.

The structure belongs to space group Cmm2 (No. 35); the cell edges are 3.4360, 5.2750 and 10.8279 Å and the angles 90.00°, 90.00° and 90.00°. Symmetry generates all atoms from Ba at (0.0000, 0.0000, 0.0000), Zr at (0.0000, 0.0000, 0.4314), Zr at (0.0000, 0.5000, 0.6749) and Re at (0.0000, 0.5000, 0.2456).

(7)
First-principles (PBE) data for BaZr2Re after structural relaxation, as listed in the Alexandria database.

The structure belongs to space group F-43m (No. 216); the cell edges are 7.2091, 7.2091 and 7.2091 Å and the angles 90.00°, 90.00° and 90.00°. Symmetry generates all atoms from Ba at (0.0000, 0.0000, 0.0000), Zr at (0.0000, 0.0000, 0.5000), Zr at (0.2500, 0.2500, 0.2500) and Re at (0.2500, 0.2500, 0.7500).

(8)
First-principles (PBE) data for BaZr2Re after structural relaxation, as listed in the Alexandria database.

The structure belongs to space group Pm (No. 6); the cell edges are 3.7176, 3.7178 and 7.9804 Å and the angles 90.00°, 90.06° and 90.00°. Symmetry generates all atoms from Ba at (0.0000, 0.0000, 0.0000), Zr at (0.4984, 0.5000, 0.6455), Zr at (0.9981, 0.0000, 0.4365) and Re at (0.4980, 0.5000, 0.3175).

(9)
First-principles (PBE) data for BaZr2Re after structural relaxation, as listed in the Alexandria database.

The structure belongs to space group C2/m (No. 12); the cell edges are 8.1394, 3.3329 and 8.3677 Å and the angles 90.00°, 94.05° and 90.00°. Symmetry generates all atoms from Ba at (0.0000, 0.0000, 0.0000), Zr at (0.2254, 0.0000, 0.6571) and Re at (0.0000, 0.5000, 0.5000).

(10)
First-principles (PBE) data for BaZr2Re after structural relaxation, as listed in the Alexandria database.

The structure belongs to space group C2/m (No. 12); the cell edges are 6.3341, 9.7388 and 3.1072 Å and the angles 90.00°, 108.70° and 90.00°. Symmetry generates all atoms from Ba at (0.0000, 0.0000, 0.0000), Zr at (0.2500, 0.2500, 0.5000) and Re at (0.0000, 0.5000, 0.0000).

(11)
First-principles (PBE) data for BaRh after structural relaxation, as listed in the Alexandria database.

The structure belongs to space group Fddd (No. 70, origin choice 2); the cell edges are 6.2017, 9.4794 and 15.1307 Å and the angles 90.00°, 90.00° and 90.00°. Symmetry generates all atoms from Ba at (0.1250, 0.3021, 0.1250) and Rh at (0.1250, 0.1250, 0.5409).

(12)
First-principles (PBE) data for BaRh after structural relaxation, as listed in the Alexandria database.

The structure belongs to space group I-43m (No. 217); the cell edges are 8.7268, 8.7268 and 8.7268 Å and the angles 90.00°, 90.00° and 90.00°. Symmetry generates all atoms from Ba at (0.2123, 0.2123, 0.7877) and Rh at (0.1119, 0.1119, 0.1119).

(13)
First-principles (PBE) data for BaRh2 after structural relaxation, as listed in the Alexandria database.

The structure belongs to space group P4/mmm (No. 123); the cell edges are 3.7074, 3.7074 and 5.3458 Å and the angles 90.00°, 90.00° and 90.00°. Symmetry generates all atoms from Ba at (0.0000, 0.0000, 0.0000) and Rh at (0.0000, 0.5000, 0.5000).

(14)
First-principles (PBE) data for BaRh after structural relaxation, as listed in the Alexandria database.

The structure belongs to space group Cmmm (No. 65); the cell edges are 4.4749, 19.1060 and 4.6359 Å and the angles 90.00°, 90.00° and 90.00°. Symmetry generates all atoms from Ba at (0.0000, 0.0000, 0.0000), Ba at (0.0000, 0.3418, 0.5000), Rh at (0.0000, 0.2261, 0.0000) and Rh at (0.0000, 0.5000, 0.5000).

no.,DOS at the Fermi energy (states/eV/atom),VASP energy (eV per formula unit)
1,1.37,-27.66
2,1.18,-29.73
3,1.28,-28.10
4,1.21,-26.97
5,1.10,-57.21
6,1.53,-28.98
7,1.14,-27.84
8,0.89,-29.79
9,0.88,-30.04
10,1.15,-27.97
11,0.81,-9.05
12,0.84,-8.82
13,1.58,-16.03
14,0.77,-9.36